# 1
Density functional theory data (PBE) for a relaxed structure of SrLaGa.

Geometry as POSCAR:
```
SrLaGa
1.0
5.399 -0.006 -0.003
-2.668 4.665 0.003
0.000 -0.005 7.764
La Ga Sr
2 2 2
direct
0.244 0.606 0.940
0.587 0.277 0.732
0.909 0.938 0.983
0.249 0.608 0.531
0.915 0.941 0.472
0.578 0.273 0.222
```

Theoretical density = 5.0 g cm⁻³
Fermi-level density of states = 0.11 states/eV/atom
Energy of formation = -0.281 eV/atom
DFT total energy = -3.49 eV per atom
Crystal system = monoclinic

=====

# 2
Density functional theory data (PBE) for a relaxed structure of EuHI.

Geometry as POSCAR:
```
EuHI
1.0
-1.737 0.268 -4.440
-1.184 -3.978 0.223
-2.601 3.013 1.199
Eu I H
1 1 1
direct
0.167 0.000 0.000
0.667 0.667 0.333
0.167 0.333 0.667
```

Theoretical density = 6.5 g cm⁻³
DFT total energy = -6.14 eV per atom
Crystal system = hexagonal

=====

# 3
Density functional theory data (PBE) for a relaxed structure of LiPu2Ni3H12.

Geometry as POSCAR:
```
LiPu2Ni3H12
1.0
-4.567 -3.090 -1.807
-3.010 -3.069 3.897
-5.327 1.787 1.448
H Pu Ni Li
12 2 3 1
direct
0.688 0.688 0.132
0.868 0.312 0.312
0.884 0.396 0.884
0.312 0.868 0.312
0.132 0.688 0.688
0.312 0.312 0.868
0.396 0.884 0.884
0.688 0.132 0.688
0.884 0.884 0.396
0.116 0.604 0.116
0.604 0.116 0.116
0.116 0.116 0.604
0.389 0.389 0.389
0.611 0.611 0.611
0.000 0.500 0.000
0.000 0.000 0.500
0.500 0.000 0.000
0.000 0.000 0.000
```

Theoretical density = 8.0 g cm⁻³
Fermi-level density of states = 1.07 states/eV/atom
DFT total energy = -5.08 eV per atom
Crystal system = trigonal

=====

# 4
Density functional theory data (PBE) for a relaxed structure of RbSeS.

Geometry as POSCAR:
```
RbSeS
1.0
5.494 0.344 0.639
3.009 8.070 -0.759
0.989 1.899 4.932
Rb Se S
2 2 2
direct
0.641 0.769 0.879
0.329 0.333 0.531
0.908 0.071 0.993
0.062 0.031 0.417
0.709 0.353 0.900
0.261 0.750 0.510
```

Theoretical density = 3.0 g cm⁻³
Fermi-level density of states = 0.01 states/eV/atom
DFT total energy = -3.50 eV per atom
Energy relative to the elements, uncorrected = -640 meV/atom
Crystal system = triclinic

=====

# 5
Density functional theory data (PBE) for a relaxed structure of KY2Al.

Geometry as POSCAR:
```
KY2Al
1.0
-0.123 6.128 -1.545
-4.442 -2.029 4.640
1.440 1.055 2.872
Al Y K
1 2 1
direct
0.000 0.500 0.500
0.000 0.000 0.000
0.500 0.000 0.500
0.500 0.500 0.000
```

Theoretical density = 3.3 g cm⁻³
Fermi-level density of states = 1.39 states/eV/atom
Energy of formation = 0.401 eV/atom
DFT total energy = -4.04 eV per atom
Crystal system = monoclinic

=====

# 6
Density functional theory data (PBE) for a relaxed structure of Rb2Nb2Sn.

Geometry as POSCAR:
```
Rb2Nb2Sn
1.0
-2.932 -1.293 1.780
-0.188 -2.807 -2.349
6.318 -9.133 7.547
Rb Sn Nb
2 1 2
direct
0.389 0.389 0.223
0.611 0.611 0.777
0.000 0.000 0.000
0.750 0.250 0.500
0.250 0.750 0.500
```

Theoretical density = 4.5 g cm⁻³
Fermi-level density of states = 0.97 states/eV/atom
Energy of formation = 0.708 eV/atom
DFT total energy = -4.51 eV per atom
Crystal system = tetragonal

=====

# 7
Density functional theory data (PBE) for a relaxed structure of ZrRuAu.

Geometry as POSCAR:
```
ZrRuAu
1.0
4.608 0.000 0.000
-2.304 3.991 0.000
0.000 0.000 2.896
Au Zr Ru
1 1 1
direct
0.000 0.000 0.999
0.333 0.667 0.632
0.667 0.333 0.369
```

Theoretical density = 12.1 g cm⁻³
Fermi-level density of states = 0.69 states/eV/atom
Energy of formation = -0.146 eV/atom
DFT total energy = -7.18 eV per atom
Crystal system = trigonal

=====

# 8
Density functional theory data (PBE) for a relaxed structure of Li2NpTiTe4.

Geometry as POSCAR:
```
Li2NpTiTe4
1.0
-2.751 1.960 -2.453
-4.679 -5.353 0.971
-1.105 5.115 5.327
Li Te Np Ti
2 4 1 1
direct
0.500 0.000 0.500
0.000 0.500 0.500
0.000 0.271 0.759
0.500 0.731 0.745
0.500 0.269 0.255
0.000 0.729 0.241
0.000 0.000 0.000
0.500 0.500 0.000
```

Theoretical density = 6.3 g cm⁻³
Fermi-level density of states = 1.40 states/eV/atom
DFT total energy = -5.43 eV per atom
Energy relative to the elements, uncorrected = -776 meV/atom
Crystal system = monoclinic

=====

# 9
Density functional theory data (PBE) for a relaxed structure of CaPm6Pr3.

Geometry as POSCAR:
```
CaPm6Pr3
1.0
6.355 0.000 -2.579
-2.353 7.111 -5.797
0.241 -1.903 9.712
Pr Pm Ca
3 6 1
direct
0.572 0.965 0.143
0.428 0.035 0.857
0.000 0.000 0.000
0.868 0.156 0.736
0.939 0.574 0.382
0.132 0.844 0.264
0.557 0.426 0.618
0.061 0.426 0.618
0.443 0.574 0.382
0.500 0.500 0.000
```

Theoretical density = 6.1 g cm⁻³
Fermi-level density of states = 1.83 states/eV/atom
Energy of formation = 0.225 eV/atom
DFT total energy = -4.26 eV per atom
Crystal system = monoclinic

=====

# 10
Density functional theory data (PBE) for a relaxed structure of TbPrIrPt.

Geometry as POSCAR:
```
TbPrIrPt
1.0
-2.339 1.769 2.631
-0.064 -3.629 2.382
5.552 0.836 1.424
Pr Tb Pt Ir
1 1 1 1
direct
0.145 0.000 0.290
0.861 0.500 0.722
0.582 0.500 0.164
0.412 0.000 0.824
```

Theoretical density = 12.2 g cm⁻³
Fermi-level density of states = 0.58 states/eV/atom
Energy of formation = -0.922 eV/atom
DFT total energy = -7.00 eV per atom
Crystal system = orthorhombic

=====

# 11
Density functional theory data (PBE) for a relaxed structure of Mg2ZnGaAu.

Geometry as POSCAR:
```
Mg2ZnGaAu
1.0
4.295 0.000 0.000
0.000 6.837 0.561
0.000 -2.307 6.112
Au Mg Ga Zn
2 4 2 2
direct
0.250 0.702 0.310
0.750 0.298 0.690
0.750 0.869 0.591
0.750 0.663 0.029
0.250 0.337 0.971
0.250 0.131 0.409
0.750 0.111 0.037
0.250 0.889 0.963
0.250 0.556 0.649
0.750 0.444 0.351
```

Theoretical density = 6.8 g cm⁻³
Fermi-level density of states = 0.29 states/eV/atom
Energy of formation = -0.313 eV/atom
DFT total energy = -2.47 eV per atom
Crystal system = monoclinic

=====

# 12
Density functional theory data (PBE) for a relaxed structure of TlIn4Br5.

Geometry as POSCAR:
```
TlIn4Br5
1.0
4.651 0.000 -0.897
-0.345 6.444 -1.789
0.004 -0.004 12.521
In Br Tl
4 5 1
direct
0.201 0.201 0.401
0.400 0.400 0.800
0.799 0.799 0.599
0.600 0.600 0.200
0.000 0.500 0.000
0.199 0.699 0.399
0.801 0.301 0.601
0.399 0.899 0.797
0.601 0.101 0.203
0.000 0.000 0.000
```

Theoretical density = 4.7 g cm⁻³
Fermi-level density of states = 0.00 states/eV/atom
DFT total energy = -2.86 eV per atom
Energy relative to the elements, uncorrected = -689 meV/atom
Crystal system = orthorhombic

=====

- What is the theoretical density in the fifth record?
  3.3 g cm⁻³

=====

- The highest theoretical density belongs to which entry?
  TbPrIrPt